No. 1
Material: Ce3Er2TmS6
Method: DFT, PBE
State: relaxed

a b c (Å): 6.7707 11.7353 6.9239
angles (deg): 90.00 109.06 90.00
With the nearest neighbours (Å) after each atom.
Space group C2/m (No. 12)
Inequivalent atoms, fractional coordinates:
1 Ce 0.0000 0.0000 0.0000  6 S 2.85-2.86
2 Ce 0.0000 0.3329 0.0000  6 S 2.85-2.86
3 Er 0.0000 0.1666 0.5000  6 S 2.73
4 Tm 0.0000 0.5000 0.5000  6 S 2.72
5 S 0.2438 0.3339 0.7333  1 Tm 2.72, 2 Er 2.73, 3 Ce 2.85-2.86
6 S 0.2458 0.0000 0.7337  1 Tm 2.72, 2 Er 2.73, 3 Ce 2.85-2.86

Computed properties:
formation energy from raw total energies = -2.012 eV per atom
calculated density = 7.13 Mg/m³
total energy = -160.61 eV per cell
V = 21.67 Å³/atom

No. 2
Material: Ce2ErTmS5
Method: DFT, PBE
State: relaxed

a b c (Å): 4.8637 4.8637 10.2169
angles (deg): 90.00 90.00 90.00
With the nearest neighbours (Å) after each atom.
Space group P4/mmm (No. 123)
Inequivalent atoms, fractional coordinates:
1 Ce 0.0000 0.0000 0.2021  5 S 3.04-3.19
2 Er 0.5000 0.5000 0.5000  2 S 2.50
3 Tm 0.5000 0.5000 0.0000  6 S 2.43-2.61
4 S 0.0000 0.0000 0.5000  2 Ce 3.04
5 S 0.0000 0.5000 0.0000  2 Tm 2.43
6 S 0.5000 0.5000 0.2556  1 Er 2.50, 1 Tm 2.61

Computed properties:
formation energy from raw total energies = -1.513 eV per atom
calculated density = 5.34 Mg/m³
total energy = -55.16 eV per cell
V = 26.85 Å³/atom

No. 3
Material: CeErTm2S6
Method: DFT, PBE
State: relaxed

a b c (Å): 6.9219 6.9219 18.4103
angles (deg): 90.00 90.00 120.00
With the nearest neighbours (Å) after each atom.
Space group R3 (No. 146, hexagonal axes)
Inequivalent atoms, fractional coordinates:
1 Ce 0.0000 0.0000 0.0000  6 S 2.81-2.91
2 Er 0.0000 0.0000 0.4933  6 S 2.72-2.76
3 Tm 0.0000 0.0000 0.2923  6 S 2.69-2.74
4 Tm 0.0000 0.0000 0.7963  6 S 2.67-2.74
5 S 0.0060 0.3083 0.8914  2 Tm 2.69-2.74, 1 Er 2.72, 1 Ce 2.91
6 S 0.0269 0.6399 0.0588  2 Tm 2.67-2.74, 1 Er 2.76, 1 Ce 2.81

Computed properties:
formation energy from raw total energies = -2.021 eV per atom
calculated density = 5.46 Mg/m³
total energy = -193.25 eV per cell
V = 25.46 Å³/atom

No. 4
Material: CeEr3Tm2S6
Method: DFT, PBE
State: relaxed

a b c (Å): 16.9215 3.8692 7.8016
angles (deg): 90.00 103.20 90.00
With the nearest neighbours (Å) after each atom.
Space group C2/m (No. 12)
Inequivalent atoms, fractional coordinates:
1 Ce 0.0000 0.0000 0.0000  6 S 2.81-2.83
2 Er 0.0000 0.0000 0.5000  6 S 2.69-2.78
3 Er 0.1635 0.5000 0.8348  6 S 2.71-2.78
4 Tm 0.1644 0.5000 0.3285  6 S 2.69-2.76
5 S 0.0011 0.5000 0.2613  3 Er 2.69-2.71, 1 Tm 2.69, 2 Ce 2.81
6 S 0.1685 0.0000 0.5820  3 Tm 2.75-2.76, 3 Er 2.78
7 S 0.1719 0.0000 0.0875  3 Er 2.71-2.74, 2 Tm 2.72, 1 Ce 2.83

Computed properties:
formation energy from raw total energies = -1.964 eV per atom
calculated density = 7.83 Mg/m³
total energy = -153.79 eV per cell
V = 20.72 Å³/atom

No. 5
Material: Ce2ErUS5
Method: DFT, PBE
State: relaxed

a b c (Å): 4.8518 4.8518 10.3793
angles (deg): 90.00 90.00 90.00
With the nearest neighbours (Å) after each atom.
Space group P4/mmm (No. 123)
Inequivalent atoms, fractional coordinates:
1 Ce 0.0000 0.0000 0.2058  5 S 3.05-3.23
2 Er 0.5000 0.5000 0.0000  6 S 2.43-2.62
3 U 0.5000 0.5000 0.5000  2 S 2.57
4 S 0.0000 0.0000 0.5000  2 Ce 3.05
5 S 0.0000 0.5000 0.0000  2 Er 2.43
6 S 0.5000 0.5000 0.2526  1 U 2.57, 1 Er 2.62

Computed properties:
formation energy from raw total energies = -1.293 eV per atom
calculated density = 5.75 Mg/m³
total energy = -59.99 eV per cell
V = 27.15 Å³/atom

No. 6
Material: CeY2ErS6
Method: DFT, PBE
State: relaxed

a b c (Å): 6.9776 6.9776 18.5841
angles (deg): 90.00 90.00 120.00
With the nearest neighbours (Å) after each atom.
Space group R3 (No. 146, hexagonal axes)
Inequivalent atoms, fractional coordinates:
1 Ce 0.0000 0.0000 0.0000  6 S 2.81-2.90
2 Y 0.0000 0.0000 0.2033  6 S 2.71-2.79
3 Y 0.0000 0.0000 0.7070  6 S 2.73-2.79
4 Er 0.0000 0.0000 0.5054  6 S 2.72-2.76
5 S 0.0017 0.3058 0.1061  1 Er 2.72, 2 Y 2.73-2.79, 1 Ce 2.90
6 S 0.0487 0.6836 0.2717  2 Y 2.71-2.79, 1 Er 2.76, 1 Ce 2.81

Computed properties:
formation energy from raw total energies = -2.023 eV per atom
calculated density = 4.31 Mg/m³
total energy = -205.27 eV per cell
V = 26.12 Å³/atom

No. 7
Material: Ce2YErS5
Method: DFT, PBE
State: relaxed

a b c (Å): 4.8800 4.8800 10.2787
angles (deg): 90.00 90.00 90.00
With the nearest neighbours (Å) after each atom.
Space group P4/mmm (No. 123)
Inequivalent atoms, fractional coordinates:
1 Ce 0.0000 0.0000 0.1999  5 S 3.08-3.19
2 Y 0.5000 0.5000 0.5000  2 S 2.52
3 Er 0.5000 0.5000 0.0000  6 S 2.44-2.62
4 S 0.0000 0.0000 0.5000  2 Ce 3.08, 4 Y 3.45
5 S 0.0000 0.5000 0.0000  2 Er 2.44
6 S 0.5000 0.5000 0.2548  1 Y 2.52, 1 Er 2.62

Computed properties:
formation energy from raw total energies = -1.515 eV per atom
calculated density = 4.73 Mg/m³
total energy = -57.16 eV per cell
V = 27.20 Å³/atom

No. 8
Material: CeY3Er4S8
Method: DFT, PBE
State: relaxed

a b c (Å): 7.8002 7.8002 19.1623
angles (deg): 90.00 90.00 120.00
With the nearest neighbours (Å) after each atom.
Space group R-3m (No. 166, hexagonal axes)
Inequivalent atoms, fractional coordinates:
1 Ce 0.0000 0.0000 0.0000  6 S 2.81
2 Y 0.0000 0.5000 0.0000  6 S 2.78
3 Er 0.0000 0.0000 0.5000  6 S 2.71
4 Er 0.0000 0.5000 0.5000  6 S 2.74
5 S 0.0000 0.0000 0.2482  3 Er 2.74, 3 Y 2.78
6 S 0.0034 0.5017 0.2474  3 Er 2.71-2.74, 2 Y 2.78, 1 Ce 2.81

Computed properties:
formation energy from raw total energies = -1.984 eV per atom
calculated density = 6.57 Mg/m³
total energy = -325.03 eV per cell
V = 21.04 Å³/atom

No. 9
Material: Ce3Y4ErS8
Method: DFT, PBE
State: relaxed

a b c (Å): 7.8907 7.8907 19.4078
angles (deg): 90.00 90.00 120.00
With the nearest neighbours (Å) after each atom.
Space group R-3m (No. 166, hexagonal axes)
Inequivalent atoms, fractional coordinates:
1 Ce 0.0000 0.5000 0.0000  6 S 2.83
2 Y 0.0000 0.0000 0.5000  6 S 2.81
3 Y 0.0000 0.5000 0.5000  6 S 2.76
4 Er 0.0000 0.0000 0.0000  6 S 2.78
5 S 0.0000 0.0000 0.2466  3 Y 2.76, 3 Ce 2.83
6 S 0.0066 0.5033 0.7516  3 Y 2.76-2.81, 1 Er 2.78, 2 Ce 2.83

Computed properties:
formation energy from raw total energies = -2.016 eV per atom
calculated density = 5.71 Mg/m³
total energy = -340.47 eV per cell
V = 21.80 Å³/atom

No. 10
Material: Ce3YEr3S8
Method: DFT, PBE
State: relaxed

a b c (Å): 7.8338 7.8338 19.5973
angles (deg): 90.00 90.00 120.00
With the nearest neighbours (Å) after each atom.
Space group R-3m (No. 166, hexagonal axes)
Inequivalent atoms, fractional coordinates:
1 Ce 0.0000 0.5000 0.0000  6 S 2.85
2 Y 0.0000 0.0000 0.5000  6 S 2.77
3 Er 0.0000 0.5000 0.5000  6 S 2.73
4 S 0.0000 0.0000 0.2448  3 Er 2.73, 3 Ce 2.85
5 S 0.0049 0.5025 0.7539  2 Er 2.73, 1 Y 2.77, 2 Ce 2.85

Computed properties:
formation energy from raw total energies = -2.042 eV per atom
calculated density = 6.06 Mg/m³
total energy = -304.80 eV per cell
V = 23.15 Å³/atom

No. 11
Material: Ce2YEr3S6
Method: DFT, PBE
State: relaxed

a b c (Å): 17.1645 3.9042 7.9100
angles (deg): 90.00 103.97 90.00
With the nearest neighbours (Å) after each atom.
Space group C2/m (No. 12)
Inequivalent atoms, fractional coordinates:
1 Ce 0.1676 0.0000 0.3359  6 S 2.83-2.85
2 Y 0.0000 0.5000 0.0000  6 S 2.79-2.80
3 Er 0.0000 0.5000 0.5000  6 S 2.71-2.76
4 Er 0.1674 0.0000 0.8321  6 S 2.71-2.76
5 S 0.0033 0.0000 0.7486  3 Er 2.73-2.76, 2 Y 2.80, 1 Ce 2.85
6 S 0.1626 0.5000 0.5921  3 Er 2.71, 3 Ce 2.83
7 S 0.1672 0.5000 0.0735  3 Er 2.73-2.76, 1 Y 2.79, 2 Ce 2.85

Computed properties:
formation energy from raw total energies = -2.001 eV per atom
calculated density = 6.86 Mg/m³
total energy = -161.59 eV per cell
V = 21.43 Å³/atom

No. 12
Material: Ce4Y3ErS8
Method: DFT, PBE
State: relaxed

a b c (Å): 7.8928 7.8928 19.6077
angles (deg): 90.00 90.00 120.00
With the nearest neighbours (Å) after each atom.
Space group R-3m (No. 166, hexagonal axes)
Inequivalent atoms, fractional coordinates:
1 Ce 0.0000 0.0000 0.0000  6 S 2.86
2 Ce 0.0000 0.5000 0.0000  6 S 2.84
3 Y 0.0000 0.5000 0.5000  6 S 2.76
4 Er 0.0000 0.0000 0.5000  6 S 2.74
5 S 0.0000 0.0000 0.2465  3 Y 2.76, 3 Ce 2.84
6 S 0.0024 0.5012 0.2459  1 Er 2.74, 2 Y 2.76, 3 Ce 2.84-2.86

Computed properties:
formation energy from raw total energies = -2.027 eV per atom
calculated density = 5.89 Mg/m³
total energy = -339.43 eV per cell
V = 22.04 Å³/atom

No. 13
Material: CeYErS3
Method: DFT, PBE
State: relaxed

a b c (Å): 7.5329 3.9093 9.9193
angles (deg): 90.00 101.59 90.00
With the nearest neighbours (Å) after each atom.
Space group P2_1/m (No. 11)
Inequivalent atoms, fractional coordinates:
1 Ce 0.1812 0.2500 0.2050  7 S 2.84-3.11
2 Y 0.1861 0.2500 0.6186  5 S 2.71-2.93
3 Er 0.3316 0.7500 0.9079  5 S 2.65-2.72
4 S 0.0906 0.2500 0.8851  2 Er 2.65, 2 Ce 2.84, 1 Y 2.88
5 S 0.1933 0.7500 0.4304  3 Y 2.71-2.80, 2 Ce 2.96
6 S 0.4696 0.7500 0.1825  3 Er 2.71-2.72, 1 Y 2.93, 2 Ce 2.96

Computed properties:
formation energy from raw total energies = -1.789 eV per atom
calculated density = 5.72 Mg/m³
total energy = -80.16 eV per cell
V = 23.85 Å³/atom

No. 14
Material: CeY3Er2S6
Method: DFT, PBE
State: relaxed

a b c (Å): 17.0678 3.9058 7.8699
angles (deg): 90.00 103.19 90.00
With the nearest neighbours (Å) after each atom.
Space group C2/m (No. 12)
Inequivalent atoms, fractional coordinates:
1 Ce 0.0000 0.0000 0.0000  6 S 2.81-2.84
2 Y 0.0000 0.0000 0.5000  6 S 2.73-2.81
3 Y 0.1639 0.5000 0.8348  6 S 2.75-2.81
4 Er 0.1649 0.5000 0.3290  6 S 2.71-2.77
5 S 0.0017 0.5000 0.2584  1 Er 2.71, 3 Y 2.73-2.75, 2 Ce 2.81
6 S 0.1690 0.0000 0.5803  3 Er 2.76-2.77, 3 Y 2.81
7 S 0.1706 0.0000 0.0888  2 Er 2.74, 3 Y 2.75-2.78, 1 Ce 2.84

Computed properties:
formation energy from raw total energies = -1.993 eV per atom
calculated density = 6.07 Mg/m³
total energy = -166.27 eV per cell
V = 21.28 Å³/atom

No. 15
Material: Ce2ErZnS5
Method: DFT, PBE
State: relaxed

a b c (Å): 3.8866 16.9124 11.8866
angles (deg): 90.00 90.00 90.00
With the nearest neighbours (Å) after each atom.
Space group Cmc2_1 (No. 36)
Inequivalent atoms, fractional coordinates:
1 Ce 0.0000 0.1148 0.0000  8 S 2.93-3.10
2 Ce 0.0000 0.1297 0.6310  7 S 2.92-3.16
3 Er 0.0000 0.2021 0.3292  6 S 2.66-2.72
4 Zn 0.0000 0.4513 0.7634  3 S 2.29-2.31
5 S 0.0000 0.0436 0.3688  2 Zn 2.31
6 S 0.0000 0.2912 0.9868  2 Er 2.70, 3 Ce 2.92-2.99
7 S 0.0000 0.3142 0.6711  1 Zn 2.56, 2 Er 2.72
8 S 0.0000 0.3594 0.3190  1 Er 2.66, 4 Ce 2.93-2.97
9 S 0.0000 0.4954 0.0866  1 Zn 2.29

Computed properties:
formation energy from raw total energies = -1.730 eV per atom
calculated density = 5.72 Mg/m³
total energy = -215.63 eV per cell
V = 21.70 Å³/atom

No. 16
Material: CeEr5Sb2
Method: DFT, PBE
State: relaxed

a b c (Å): 4.1252 11.9233 19.1192
angles (deg): 90.00 90.00 90.00
With the nearest neighbours (Å) after each atom.
Space group Cmcm (No. 63)
Inequivalent atoms, fractional coordinates:
1 Ce 0.0000 0.1734 0.2500  3 Er 3.24-3.42, 4 Sb 3.26
2 Er 0.0000 0.0981 0.7500  2 Sb 3.06, 3 Ce 3.24-3.42, 4 Er 3.38
3 Er 0.0000 0.1381 0.0245  3 Sb 3.08-3.20, 1 Er 3.42
4 Er 0.0000 0.4534 0.1134  3 Sb 3.27-3.45, 6 Er 3.38-3.52
5 Sb 0.0000 0.2581 0.6252  6 Er 3.06-3.27, 2 Ce 3.26

Computed properties:
formation energy from raw total energies = -0.470 eV per atom
calculated density = 8.62 Mg/m³
total energy = -163.00 eV per cell
V = 29.39 Å³/atom

No. 17
Material: Ce2ErSb2
Method: DFT, PBE
State: relaxed

a b c (Å): 5.0798 5.0798 18.2114
angles (deg): 90.00 90.00 120.00
With the nearest neighbours (Å) after each atom.
Space group R-3m (No. 166, hexagonal axes)
Inequivalent atoms, fractional coordinates:
1 Ce 0.0000 0.0000 0.1897  3 Ce 3.05, 3 Sb 3.23
2 Er 0.0000 0.0000 0.0000  6 Sb 3.19, 2 Ce 3.45
3 Sb 0.0000 0.0000 0.4025  3 Er 3.19, 3 Ce 3.23, 1 Sb 3.55

Computed properties:
formation energy from raw total energies = -0.575 eV per atom
calculated density = 8.46 Mg/m³
total energy = -82.65 eV per cell
V = 27.13 Å³/atom

No. 18
Material: Ce3ErSb4
Method: DFT, PBE
State: relaxed

a b c (Å): 6.3140 6.3140 6.3140
angles (deg): 90.00 90.00 90.00
With the nearest neighbours (Å) after each atom.
Space group Pm-3m (No. 221)
Inequivalent atoms, fractional coordinates:
1 Ce 0.0000 0.0000 0.5000  6 Sb 3.16
2 Er 0.5000 0.5000 0.5000  6 Sb 3.16
3 Sb 0.0000 0.0000 0.0000  6 Ce 3.16
4 Sb 0.0000 0.5000 0.5000  4 Ce 3.16, 2 Er 3.16

Computed properties:
formation energy from raw total energies = -1.043 eV per atom
relative energy among the computed polymorphs = 7 meV per atom
calculated density = 7.09 Mg/m³
total energy = -47.20 eV per cell
V = 31.46 Å³/atom

No. 19
Material: CeEr3Sb4
Method: DFT, PBE
State: relaxed

a b c (Å): 8.7771 12.4067 4.3935
angles (deg): 90.00 90.00 90.00
With the nearest neighbours (Å) after each atom.
Space group Cmmm (No. 65)
Inequivalent atoms, fractional coordinates:
1 Ce 0.0000 0.0000 0.0000  6 Sb 3.13-3.14
2 Er 0.0000 0.5000 0.0000  6 Sb 3.07
3 Er 0.2500 0.2500 0.5000  6 Sb 3.10-3.11
4 Sb 0.0000 0.2524 0.0000  5 Er 3.07-3.11, 1 Ce 3.13
5 Sb 0.2444 0.5000 0.5000  4 Er 3.07-3.10, 2 Ce 3.14

Computed properties:
formation energy from raw total energies = -1.079 eV per atom
calculated density = 7.84 Mg/m³
total energy = -89.49 eV per cell
V = 29.90 Å³/atom

No. 20
Material: CeEr2Sb3
Method: DFT, PBE
State: relaxed

a b c (Å): 4.3994 6.2301 13.1974
angles (deg): 90.00 90.00 90.00
With the nearest neighbours (Å) after each atom.
Space group Immm (No. 71)
Inequivalent atoms, fractional coordinates:
1 Ce 0.0000 0.0000 0.0000  6 Sb 3.12-3.15
2 Er 0.0000 0.0000 0.3347  6 Sb 3.08-3.12
3 Sb 0.0000 0.5000 0.0000  4 Er 3.10, 2 Ce 3.12
4 Sb 0.0000 0.5000 0.3292  4 Er 3.08-3.12, 2 Ce 3.15

Computed properties:
formation energy from raw total energies = -1.073 eV per atom
relative energy among the computed polymorphs = 3 meV per atom
calculated density = 7.71 Mg/m³
total energy = -67.73 eV per cell
V = 30.14 Å³/atom

No. 21
Material: Ce2Er2Sb3
Method: DFT, PBE
State: relaxed

a b c (Å): 14.1382 4.4512 7.3635
angles (deg): 90.00 99.65 90.00
With the nearest neighbours (Å) after each atom.
Space group C2/m (No. 12)
Inequivalent atoms, fractional coordinates:
1 Ce 0.1221 0.0000 0.3506  5 Sb 3.13-3.15
2 Er 0.1188 0.5000 0.8839  4 Sb 3.04-3.06
3 Sb 0.0000 0.5000 0.5000  2 Er 3.04, 4 Ce 3.13
4 Sb 0.2385 0.0000 0.7547  3 Er 3.04-3.06, 3 Ce 3.15

Computed properties:
formation energy from raw total energies = -0.761 eV per atom
calculated density = 7.12 Mg/m³
total energy = -77.38 eV per cell
V = 32.63 Å³/atom